A geometry-optimized NaLaGa2As structure, computed with GGA-PBE.

It has space group P4/mmm (No. 123), with a = 4.998 Å, b = 4.998 Å, c = 5.105 Å, α = 90.00°, β = 90.00° and γ = 90.00°. The inequivalent atoms are Na at (0.000, 0.000, 0.000), La at (0.500, 0.500, 0.500), Ga at (0.000, 0.500, 0.000) and As at (0.000, 0.000, 0.500).

The density of states at the Fermi level is 3.070 states/eV/f.u. As for the total energy: -3.350 eV per atom.